1.
# meta-GGA SCAN TeAsOsI2, single point on PBEsol structure
# Formation energy from raw total energies   1567 meV per atom
data_TeAsOsI2
_symmetry_space_group_name_H-M 'P 4/m m m'
_symmetry_Int_Tables_number 123
_symmetry_space_group_name_Hall '-P 4 2'
_cell_length_a 5.468
_cell_length_b 5.468
_cell_length_c 5.376
_cell_angle_alpha 90.00
_cell_angle_beta 90.00
_cell_angle_gamma 90.00
loop_
_atom_site_label
_atom_site_fract_x
_atom_site_fract_y
_atom_site_fract_z
Te1 0.000 0.000 0.000
As1 0.000 0.000 0.500
Os1 0.500 0.500 0.000
I1 0.000 0.500 0.500

=====

2.
# meta-GGA SCAN CaZnAu2, single point on PBEsol structure
# Formation enthalpy at 0 K   -639 meV per atom
data_CaZnAu2
_symmetry_space_group_name_H-M 'P m m 2'
_symmetry_Int_Tables_number 25
_cell_length_a 3.497
_cell_length_b 4.696
_cell_length_c 5.085
_cell_angle_alpha 90.00
_cell_angle_beta 90.00
_cell_angle_gamma 90.00
loop_
_symmetry_equiv_pos_as_xyz
'x,y,z'
'-x,-y,z'
'-x,y,z'
'x,-y,z'
loop_
_atom_site_label
_atom_site_fract_x
_atom_site_fract_y
_atom_site_fract_z
Ca1 0.000 0.000 0.000
Zn1 0.500 0.500 0.699
Au1 0.500 0.000 0.502
Au2 0.500 0.500 0.195

=====

It is found that the raw total energy values, taken in the order of the records, are -2.8660 -3.0143 Ry/atom.